Compound: Pr4SeBr5
Source: Alexandria
Functional: PBE-GGA
Structure: optimized geometry

Lattice parameters (Å, degrees): 4.1425 8.7413 9.6379 104.07 102.41 90.00
Closest atoms and distances in Å follow each position.
Positions (direct):
Pr1 0.9982 0.2253 0.9964  2 Se 2.86, 4 Br 3.03-3.17
Br1 0.5000 0.5000 0.0000  4 Pr 3.17
Se1 0.5000 0.0000 0.0000  6 Pr 2.81-2.86
Pr2 0.3460 0.9237 0.6920  1 Se 2.81, 4 Br 3.03-3.10
Pr3 0.6540 0.0763 0.3080  1 Se 2.81, 4 Br 3.03-3.10
Br2 0.8361 0.6655 0.6722  3 Pr 3.03
Br3 0.8269 0.1751 0.6538  4 Pr 3.10-3.15
Pr4 0.0018 0.7747 0.0036  2 Se 2.86, 4 Br 3.03-3.17
Br4 0.1731 0.8249 0.3462  4 Pr 3.10-3.15
Br5 0.1639 0.3345 0.3278  3 Pr 3.03

Summary:
* crystal system: monoclinic
* V: 330 Å³/f.u.
* E_form (uncorrected): -1.65 eV/atom
* space group: C2/m, No. 12